Entry 1:
14
Lattice="-1.904 -2.041 3.255 1.515 -8.072 -4.177 11.068 -0.480 6.174" Properties=species:S:1:pos:R:3 comment="Nd3AuI3 | the Alexandria database | PBE | relaxed" vol_a3_per_atom=35.8 density_g_cm3=6.7 raw_formation_energy_ev_per_atom=-1.050 dos_at_fermi_per_ev_atom=0.805 pbc="T T T"
Nd 6.701 -3.043 3.424
Nd 3.979 -7.551 1.828
Nd 7.982 -7.685 1.261
Nd 2.697 -2.908 3.990
Nd 2.705 -7.933 -1.982
Nd 7.975 -2.660 7.233
Au 5.617 -8.374 -0.555
Au 5.063 -2.219 5.806
I 4.261 -4.146 1.305
I 6.418 -6.448 3.947
I 10.788 -7.725 2.878
I -0.109 -2.868 2.374
I 9.559 -3.765 4.643
I 1.120 -6.829 0.608



Entry 2:
4
Lattice="-4.626 2.843 -1.864 -5.721 -0.453 0.163 -1.976 2.630 3.210" Properties=species:S:1:pos:R:3 comment="YTlZn2 | the Alexandria database | PBE | relaxed" delta_e_f_ev_per_atom=-0.127 vol_a3_per_atom=22.4 density_g_cm3=7.9 relative_energy_mev_per_atom=91.6 dos_at_fermi_per_ev_atom=0.682 pbc="T T T"
Tl -6.103 2.513 0.789
Y -3.219 1.252 0.297
Zn -2.217 2.624 3.069
Zn -8.921 3.773 1.317



Entry 3:
5
Lattice="5.542 0.000 0.000 0.000 5.542 0.000 0.000 0.000 5.542" Properties=species:S:1:pos:R:3 comment="Ca3TcW | the Alexandria database | PBE | relaxed" delta_e_f_ev_per_atom=1.750 vol_a3_per_atom=34.0 density_g_cm3=3.9 relative_energy_mev_per_atom=228.5 dos_at_fermi_per_ev_atom=0.915 pbc="T T T"
Ca 0.000 2.771 0.000
Ca 0.000 0.000 2.771
Ca 2.771 0.000 0.000
Tc 2.771 2.771 2.771
W 0.000 0.000 0.000